(1)
# TaAl2Cu (GGA-PBE, optimized geometry)
# Formation energy from the elements   -119 meV/atom
# Size of the total moment   0.00 μB/f.u.
# ρ   7.9 g cm⁻³
# DOS at the Fermi energy   2.0 states/eV/f.u.
data_TaAl2Cu
_chemical_formula_sum 'Ta2 Al4 Cu2'
_symmetry_space_group_name_H-M 'C 1 m 1'
_symmetry_Int_Tables_number 8
_cell_length_a 10.181
_cell_length_b 2.800
_cell_length_c 4.832
_cell_angle_alpha 90.00
_cell_angle_beta 114.97
_cell_angle_gamma 90.00
loop_
_symmetry_equiv_pos_as_xyz
'x,y,z'
'x,-y,z'
'x+1/2,y+1/2,z'
'x+1/2,-y+1/2,z'
loop_
_atom_site_label
_atom_site_type_symbol
_atom_site_fract_x
_atom_site_fract_y
_atom_site_fract_z
_atom_site_occupancy
Ta1 Ta 0.000 0.000 0.000 1
Al1 Al 0.247 0.000 0.904 1
Al2 Al 0.490 0.000 0.495 1
Cu1 Cu 0.248 0.500 0.423 1

=====

(2)
# TaTiAlCu2 (GGA-PBE, optimized geometry)
# Formation energy from the elements   1285 meV/atom
# Size of the total moment   0.00 μB/f.u.
# ρ   5.9 g cm⁻³
# DOS at the Fermi energy   5.7 states/eV/f.u.
data_TaTiAlCu2
_chemical_formula_sum 'Ta1 Ti1 Al1 Cu2'
_symmetry_space_group_name_H-M 'P 4/m m m'
_symmetry_Int_Tables_number 123
_symmetry_space_group_name_Hall '-P 4 2'
_cell_length_a 4.798
_cell_length_b 4.798
_cell_length_c 4.655
_cell_angle_alpha 90.00
_cell_angle_beta 90.00
_cell_angle_gamma 90.00
loop_
_atom_site_label
_atom_site_type_symbol
_atom_site_fract_x
_atom_site_fract_y
_atom_site_fract_z
_atom_site_occupancy
Ta1 Ta 0.000 0.000 0.000 1
Ti1 Ti 0.000 0.000 0.500 1
Al1 Al 0.500 0.500 0.500 1
Cu1 Cu 0.000 0.500 0.000 1

=====

(3)
# ZrTa2AlCu (GGA-PBE, optimized geometry)
# Formation energy from the elements   644 meV/atom
# Size of the total moment   0.00 μB/f.u.
# ρ   9.2 g cm⁻³
# DOS at the Fermi energy   6.4 states/eV/f.u.
data_ZrTa2AlCu
_chemical_formula_sum 'Zr1 Ta2 Al1 Cu1'
_symmetry_space_group_name_H-M 'P 4/m m m'
_symmetry_Int_Tables_number 123
_symmetry_space_group_name_Hall '-P 4 2'
_cell_length_a 4.748
_cell_length_b 4.748
_cell_length_c 4.345
_cell_angle_alpha 90.00
_cell_angle_beta 90.00
_cell_angle_gamma 90.00
loop_
_atom_site_label
_atom_site_type_symbol
_atom_site_fract_x
_atom_site_fract_y
_atom_site_fract_z
_atom_site_occupancy
Zr1 Zr 0.000 0.000 0.000 1
Ta1 Ta 0.000 0.500 0.500 1
Al1 Al 0.500 0.500 0.000 1
Cu1 Cu 0.500 0.500 0.500 1

=====

The lowest DOS at the Fermi energy belongs to which entry? TaAl2Cu